[1]
MnCrH3 | Alexandria | PBE | relaxed; size of the total moment = 1.63 μB/cell; crystal system = cubic; V = 37.0 Å³ per cell; energy above the lowest structure with this stoichiometry = 155 meV per atom
1.0
3.332 0.000 0.000
0.000 3.332 0.000
0.000 0.000 3.332
Cr Mn H
1 1 3
Cartesian
1.666 1.666 1.666 Cr
0.000 0.000 0.000 Mn
0.000 1.666 0.000 H
0.000 0.000 1.666 H
1.666 0.000 0.000 H

[2]
TcAg2Sb | Alexandria | PBE | relaxed; size of the total moment = 0.14 μB/cell; raw formation energy = 137 kJ/mol of formula units; crystal system = trigonal; V = 76.1 Å³ per cell
1.0
9.260 0.017 0.010
8.732 3.082 0.010
8.732 1.504 2.690
Ag Sb Tc
2 1 1
Cartesian
0.079 0.014 0.008 Ag
6.778 1.168 0.687 Ag
13.134 2.262 1.332 Sb
20.095 3.462 2.038 Tc

[3]
PmTcO5 | Alexandria | PBE | relaxed; size of the total moment = 0.33 μB/cell; raw formation energy = -1344 kJ/mol of formula units; crystal system = tetragonal; V = 264.5 Å³ per cell; energy above the lowest structure with this stoichiometry = 0 meV per atom
1.0
4.396 0.000 0.000
0.000 7.756 0.000
0.000 0.000 7.756
Pm Tc O
2 2 10
Cartesian
1.054 3.878 0.000 Pm
3.342 0.000 3.878 Pm
2.198 0.000 0.000 Tc
2.198 3.878 3.878 Tc
1.191 1.427 0.000 O
1.191 3.878 2.451 O
1.124 0.000 3.878 O
3.272 3.878 0.000 O
1.191 3.878 5.305 O
1.191 6.329 0.000 O
3.205 5.305 3.878 O
3.205 0.000 6.329 O
3.205 0.000 1.427 O
3.205 2.451 3.878 O

[4]
MgNpBO5 | Alexandria | PBE | relaxed; size of the total moment = 4.00 μB/cell; raw formation energy = -1991 kJ/mol of formula units; crystal system = monoclinic; V = 168.8 Å³ per cell
1.0
5.260 0.035 0.090
-1.502 5.041 0.090
-1.455 -1.966 6.285
Mg Np B O
2 2 2 10
Cartesian
-0.728 -0.983 3.142 Mg
0.000 0.000 0.000 Mg
0.461 2.827 1.661 Np
1.841 0.283 4.804 Np
2.774 1.114 1.661 B
-0.471 1.995 4.804 B
-1.094 3.978 1.661 O
3.396 -0.868 4.804 O
4.086 1.440 1.046 O
-1.784 1.670 5.418 O
2.846 -0.236 2.276 O
-0.543 3.345 4.189 O
2.326 2.093 2.716 O
-0.024 1.017 3.749 O
1.707 1.257 0.606 O
0.595 1.853 5.858 O

[5]
Li2TcAg | Alexandria | PBE | relaxed; size of the total moment = 0.78 μB/cell; calculated formation energy = 0.338 eV per atom; crystal system = orthorhombic; V = 59.5 Å³ per cell; energy above the lowest structure with this stoichiometry = 226 meV per atom
1.0
-2.089 -0.767 5.063
-4.526 -3.063 0.848
5.256 0.660 -1.588
Ag Li Tc
1 2 1
Cartesian
-1.221 -2.119 1.047 Ag
-0.014 -0.008 0.012 Li
-0.124 -1.042 3.263 Li
-3.308 -1.915 2.956 Tc

[6]
Zr2NiHgS | Alexandria | PBE | relaxed; size of the total moment = 0.00 μB/cell; raw formation energy = 457 kJ/mol of formula units; crystal system = tetragonal; V = 127.9 Å³ per cell
1.0
5.277 0.000 0.000
0.000 4.595 0.000
0.000 0.000 5.277
Ni S Hg Zr
1 1 1 2
Cartesian
0.000 2.297 0.000 Ni
2.638 2.297 2.638 S
0.000 0.000 0.000 Hg
0.000 0.000 2.638 Zr
2.638 0.000 0.000 Zr

Which value of V does entry 3 give? 264.5 Å³ per cell

What is the V in the fifth record? 59.5 Å³ per cell

Which formula does entry 1 have? MnCrH3

The highest V belongs to which entry? PmTcO5